LaGdGe: relaxed, GGA-PBE.

The structure belongs to space group P3m1 (No. 156); the cell edges are 4.8167, 4.8167 and 4.3209 Å and the angles 90.00°, 90.00° and 120.00°. Symmetry generates all atoms from La at (0.0000, 0.0000, 0.0000), Gd at (0.6667, 0.3333, 0.4639) and Ge at (0.3333, 0.6667, 0.6131).

As for the formation enthalpy at 0 K: -0.450 eV per atom. The calculation puts the offset from the most stable computed form at 0.31 eV/f.u. Its total energy is -24.98 eV per cell.


La2GdGe: relaxed, GGA-PBE.

The structure belongs to space group Fm-3m (No. 225); the cell edges are 7.7625, 7.7625 and 7.7625 Å and the angles 90.00°, 90.00° and 90.00°. Symmetry generates all atoms from La at (0.2500, 0.2500, 0.2500), Gd at (0.0000, 0.0000, 0.0000) and Ge at (0.0000, 0.0000, 0.5000).

As for the formation enthalpy at 0 K: -0.186 eV per atom. The calculation puts the offset from the most stable computed form at 0.76 eV/f.u. Its total energy is -117.18 eV per cell.


LaGdMgGe: relaxed, GGA-PBE.

The structure belongs to space group F-43m (No. 216); the cell edges are 7.4835, 7.4835 and 7.4835 Å and the angles 90.00°, 90.00° and 90.00°. Symmetry generates all atoms from La at (0.0000, 0.0000, 0.0000), Gd at (0.0000, 0.0000, 0.5000), Mg at (0.2500, 0.2500, 0.2500) and Ge at (0.2500, 0.2500, 0.7500).

As for the formation enthalpy at 0 K: -0.388 eV per atom. Its total energy is -107.10 eV per cell.


LaGdNiGe: relaxed, GGA-PBE.

The structure belongs to space group F-43m (No. 216); the cell edges are 7.1926, 7.1926 and 7.1926 Å and the angles 90.00°, 90.00° and 90.00°. Symmetry generates all atoms from La at (0.0000, 0.0000, 0.0000), Gd at (0.0000, 0.0000, 0.5000), Ni at (0.2500, 0.2500, 0.2500) and Ge at (0.2500, 0.2500, 0.7500).

As for the formation enthalpy at 0 K: -0.483 eV per atom. Its total energy is -125.35 eV per cell.


LaGdGePt: relaxed, GGA-PBE.

The structure belongs to space group F-43m (No. 216); the cell edges are 7.2990, 7.2990 and 7.2990 Å and the angles 90.00°, 90.00° and 90.00°. Symmetry generates all atoms from La at (0.0000, 0.0000, 0.0000), Gd at (0.0000, 0.0000, 0.5000), Ge at (0.2500, 0.2500, 0.2500) and Pt at (0.2500, 0.2500, 0.7500).

As for the formation enthalpy at 0 K: -0.885 eV per atom. Its total energy is -132.82 eV per cell.


LaGdTlGe: relaxed, GGA-PBE.

The structure belongs to space group F-43m (No. 216); the cell edges are 7.6044, 7.6044 and 7.6044 Å and the angles 90.00°, 90.00° and 90.00°. Symmetry generates all atoms from La at (0.0000, 0.0000, 0.0000), Gd at (0.0000, 0.0000, 0.5000), Tl at (0.2500, 0.2500, 0.7500) and Ge at (0.2500, 0.2500, 0.2500).

As for the formation enthalpy at 0 K: -0.480 eV per atom. Its total energy is -111.65 eV per cell.


Li2GdGe: relaxed, GGA-PBE.

The structure belongs to space group R-3m (No. 166, hexagonal axes); the cell edges are 3.1581, 3.1581 and 32.0241 Å and the angles 90.00°, 90.00° and 120.00°. Symmetry generates all atoms from Li at (0.0000, 0.0000, 0.1008), Gd at (0.0000, 0.0000, 0.0000) and Ge at (0.0000, 0.0000, 0.5000).

As for the formation enthalpy at 0 K: 0.140 eV per atom. Its total energy is -65.89 eV per cell.


LiGdGe4: relaxed, GGA-PBE.

The structure belongs to space group F-43m (No. 216); the cell edges are 7.8640, 7.8640 and 7.8640 Å and the angles 90.00°, 90.00° and 90.00°. Symmetry generates all atoms from Li at (0.0000, 0.0000, 0.0000), Gd at (0.2500, 0.2500, 0.2500) and Ge at (0.1255, 0.1255, 0.6255).

As for the formation enthalpy at 0 K: -0.298 eV per atom. Its total energy is -145.01 eV per cell.


Li2GdGe: relaxed, GGA-PBE.

The structure belongs to space group Fm-3m (No. 225); the cell edges are 6.5306, 6.5306 and 6.5306 Å and the angles 90.00°, 90.00° and 90.00°. Symmetry generates all atoms from Li at (0.2500, 0.2500, 0.2500), Gd at (0.0000, 0.0000, 0.0000) and Ge at (0.0000, 0.0000, 0.5000).

As for the formation enthalpy at 0 K: -0.356 eV per atom. Its total energy is -95.80 eV per cell.


LiGdMgGe: relaxed, GGA-PBE.

The structure belongs to space group F-43m (No. 216); the cell edges are 6.9202, 6.9202 and 6.9202 Å and the angles 90.00°, 90.00° and 90.00°. Symmetry generates all atoms from Li at (0.0000, 0.0000, 0.0000), Gd at (0.2500, 0.2500, 0.7500), Mg at (0.2500, 0.2500, 0.2500) and Ge at (0.0000, 0.0000, 0.5000).

As for the formation enthalpy at 0 K: -0.316 eV per atom. Its total energy is -93.88 eV per cell.


NaLiGdGe: relaxed, GGA-PBE.

The structure belongs to space group F-43m (No. 216); the cell edges are 7.1055, 7.1055 and 7.1055 Å and the angles 90.00°, 90.00° and 90.00°. Symmetry generates all atoms from Na at (0.0000, 0.0000, 0.0000), Li at (0.2500, 0.2500, 0.2500), Gd at (0.0000, 0.0000, 0.5000) and Ge at (0.2500, 0.2500, 0.7500).

As for the formation enthalpy at 0 K: -0.231 eV per atom. Its total energy is -91.42 eV per cell.


LiGdGePd: relaxed, GGA-PBE.

The structure belongs to space group F-43m (No. 216); the cell edges are 6.5710, 6.5710 and 6.5710 Å and the angles 90.00°, 90.00° and 90.00°. Symmetry generates all atoms from Li at (0.0000, 0.0000, 0.0000), Gd at (0.2500, 0.2500, 0.7500), Ge at (0.2500, 0.2500, 0.2500) and Pd at (0.0000, 0.0000, 0.5000).

As for the formation enthalpy at 0 K: -0.701 eV per atom. Its total energy is -114.43 eV per cell.


LiPrGdGe: relaxed, GGA-PBE.

The structure belongs to space group F-43m (No. 216); the cell edges are 7.2961, 7.2961 and 7.2961 Å and the angles 90.00°, 90.00° and 90.00°. Symmetry generates all atoms from Li at (0.0000, 0.0000, 0.0000), Pr at (0.2500, 0.2500, 0.2500), Gd at (0.2500, 0.2500, 0.7500) and Ge at (0.0000, 0.0000, 0.5000).

As for the formation enthalpy at 0 K: -0.411 eV per atom. Its total energy is -108.14 eV per cell.


LiGdGeRh: relaxed, GGA-PBE.

The structure belongs to space group F-43m (No. 216); the cell edges are 6.5226, 6.5226 and 6.5226 Å and the angles 90.00°, 90.00° and 90.00°. Symmetry generates all atoms from Li at (0.0000, 0.0000, 0.0000), Gd at (0.2500, 0.2500, 0.2500), Ge at (0.2500, 0.2500, 0.7500) and Rh at (0.0000, 0.0000, 0.5000).

As for the formation enthalpy at 0 K: -0.612 eV per atom. Its total energy is -121.65 eV per cell.


LiSmGdGe: relaxed, GGA-PBE.

The structure belongs to space group F-43m (No. 216); the cell edges are 7.2140, 7.2140 and 7.2140 Å and the angles 90.00°, 90.00° and 90.00°. Symmetry generates all atoms from Li at (0.0000, 0.0000, 0.0000), Sm at (0.2500, 0.2500, 0.7500), Gd at (0.2500, 0.2500, 0.2500) and Ge at (0.0000, 0.0000, 0.5000).

As for the formation enthalpy at 0 K: -0.418 eV per atom. Its total energy is -108.02 eV per cell.


LiGdThGe: relaxed, GGA-PBE.

The structure belongs to space group F-43m (No. 216); the cell edges are 7.2714, 7.2714 and 7.2714 Å and the angles 90.00°, 90.00° and 90.00°. Symmetry generates all atoms from Li at (0.0000, 0.0000, 0.0000), Gd at (0.2500, 0.2500, 0.7500), Th at (0.2500, 0.2500, 0.2500) and Ge at (0.0000, 0.0000, 0.5000).

As for the formation enthalpy at 0 K: -0.273 eV per atom. Its total energy is -116.49 eV per cell.


LiGdTlGe: relaxed, GGA-PBE.

The structure belongs to space group F-43m (No. 216); the cell edges are 7.1574, 7.1574 and 7.1574 Å and the angles 90.00°, 90.00° and 90.00°. Symmetry generates all atoms from Li at (0.0000, 0.0000, 0.0000), Gd at (0.0000, 0.0000, 0.5000), Tl at (0.2500, 0.2500, 0.2500) and Ge at (0.2500, 0.2500, 0.7500).

As for the formation enthalpy at 0 K: -0.355 eV per atom. Its total energy is -97.59 eV per cell.


LiGdTmGe: relaxed, GGA-PBE.

The structure belongs to space group F-43m (No. 216); the cell edges are 7.0895, 7.0895 and 7.0895 Å and the angles 90.00°, 90.00° and 90.00°. Symmetry generates all atoms from Li at (0.0000, 0.0000, 0.0000), Gd at (0.2500, 0.2500, 0.7500), Tm at (0.2500, 0.2500, 0.2500) and Ge at (0.0000, 0.0000, 0.5000).

As for the formation enthalpy at 0 K: -0.397 eV per atom. Its total energy is -106.69 eV per cell.


Gd2LuGe: relaxed, GGA-PBE.

The structure belongs to space group R-3m (No. 166, hexagonal axes); the cell edges are 3.4720, 3.4720 and 34.4898 Å and the angles 90.00°, 90.00° and 120.00°. Symmetry generates all atoms from Gd at (0.0000, 0.0000, 0.0845), Lu at (0.0000, 0.0000, 0.5000) and Ge at (0.0000, 0.0000, 0.0000).

As for the formation enthalpy at 0 K: 0.158 eV per atom. The calculation puts the offset from the most stable computed form at 1.99 eV/f.u. Its total energy is -110.00 eV per cell.


Gd2LuGe: relaxed, GGA-PBE.

The structure belongs to space group P4/mmm (No. 123); the cell edges are 4.0254, 4.0254 and 6.5362 Å and the angles 90.00°, 90.00° and 90.00°. Symmetry generates all atoms from Gd at (0.0000, 0.0000, 0.2231), Lu at (0.5000, 0.5000, 0.5000) and Ge at (0.5000, 0.5000, 0.0000).

As for the formation enthalpy at 0 K: -0.339 eV per atom. The calculation puts the offset from the most stable computed form at 0.00 eV/f.u. Its total energy is -38.65 eV per cell.